No. 1
{"formula": "Ba4LiCd5", "functional": "PBE", "state": "relaxed", "cell": [[4.122, 0.000, 0.000], [0.000, 4.122, 0.000], [0.000, 0.000, 20.745]], "species": ["Ba", "Ba", "Ba", "Ba", "Cd", "Cd", "Cd", "Cd", "Cd", "Li"], "frac_coords": [[0.000, 0.000, 0.180], [0.000, 0.000, 0.820], [0.000, 0.000, 0.394], [0.000, 0.000, 0.606], [0.500, 0.500, 0.713], [0.500, 0.500, 0.287], [0.500, 0.500, 0.070], [0.500, 0.500, 0.930], [0.500, 0.500, 0.500], [0.000, 0.000, 0.000]], "n_ef_per_ev_cell": 8.022, "dft_energy_ev_per_cell": -16.79, "formation_enthalpy_0k_ev_per_atom": -0.26}



No. 2
{"formula": "KTaIr2", "functional": "PBE", "state": "relaxed", "cell": [[-1.513, -1.651, -2.695], [1.123, -3.073, 1.253], [-6.623, -0.722, 4.161]], "species": ["Ir", "Ir", "K", "Ta"], "frac_coords": [[0.000, 0.000, 0.975], [0.500, 0.500, 0.177], [0.000, 0.000, 0.470], [0.500, 0.500, 0.878]], "n_ef_per_ev_cell": 3.166, "dft_energy_ev_per_cell": -28.51, "formation_enthalpy_0k_ev_per_atom": 0.54}



No. 3
{"formula": "BaPWCl2", "functional": "PBE", "state": "relaxed", "cell": [[5.052, 0.000, 0.000], [0.000, 5.052, 0.000], [0.000, 0.000, 4.780]], "species": ["Ba", "Cl", "Cl", "P", "W"], "frac_coords": [[0.500, 0.500, 0.500], [0.500, 0.000, 0.000], [0.000, 0.500, 0.000], [0.000, 0.000, 0.500], [0.000, 0.000, 0.000]], "n_ef_per_ev_cell": 2.050, "raw_formation_energy_kcal_per_mol_atoms": -14.61, "dft_energy_ev_per_cell": -27.15}